## PaPRu3 (PBE)

Data for PaPRu3 after structural relaxation. Values from VASP.

Quantum ESPRESSO input file:
```
&SYSTEM
  ibrav = 0, nat = 20, ntyp = 3
/
ATOMIC_SPECIES
Ru 101.07 Ru.upf
P 30.97 P.upf
Pa 231.04 Pa.upf
ATOMIC_POSITIONS crystal
Ru 0.1445 0.5308 0.7500
P 0.5000 0.0000 0.5000
Ru 0.6921 0.3079 0.0000
Ru 0.8862 0.8862 0.9086
Pa 0.1158 0.1158 0.7500
Pa 0.3988 0.3988 0.2500
Ru 0.8862 0.8862 0.5914
P 0.5000 0.0000 0.0000
Ru 0.3079 0.6921 0.0000
Ru 0.5308 0.1445 0.7500
Ru 0.1138 0.1138 0.0914
Ru 0.8555 0.4692 0.2500
P 0.0000 0.5000 0.5000
Pa 0.8842 0.8842 0.2500
Pa 0.6012 0.6012 0.7500
P 0.0000 0.5000 0.0000
Ru 0.3079 0.6921 0.5000
Ru 0.6921 0.3079 0.5000
Ru 0.1138 0.1138 0.4086
Ru 0.4692 0.8555 0.2500
CELL_PARAMETERS angstrom
6.0683 0.7441 0.0000
0.7895 6.0626 0.0000
0.0000 0.0000 9.0707
```

Computed properties:
As for the total magnetization: 0.00 μB/cell. The energy of formation is -0.54 eV per atom. The density is 11.433 g cm⁻³. The volume comes out at 16.419 A^3/atom. The calculation puts the energy above the most stable polymorph in this dataset at 29 meV/atom. Its space group is Cmcm (63).